Entry 1:
Entry from Alexandria via LeMat-Bulk: crystalline CeYErSc at its relaxed geometry (PBE).

abc: 5.520 5.520 5.520
angles: 60.00 60.00 60.00
Element x y z (fractional)
Ce 0.000 0.000 0.000
Y 0.500 0.500 0.500
Er 0.250 0.250 0.250
Sc 0.750 0.750 0.750

## Properties
space-group type: F-43m (216)
D(E_F): 8.0 states/eV/f.u.
E_tot: -22.751 eV/cell
DFT formation energy: 52.2 kJ/mol of formula units


Entry 2:
Entry from Alexandria via LeMat-Bulk: crystalline CeYEr2Sc4 at its relaxed geometry (PBE).

abc: 4.899 4.899 9.173
angles: 90.00 90.00 90.00
Element x y z (fractional)
Ce 0.000 0.000 0.000
Y 0.500 0.500 0.500
Er 0.000 0.000 0.500
Er 0.500 0.500 0.000
Sc 0.000 0.500 0.246
Sc 0.000 0.500 0.754
Sc 0.500 0.000 0.246
Sc 0.500 0.000 0.754

## Properties
space-group type: P4/mmm (123)
D(E_F): 14.7 states/eV/f.u.
E_tot: -46.334 eV/cell
DFT formation energy: 49.8 kJ/mol of formula units


Entry 3:
Entry from Alexandria via LeMat-Bulk: crystalline CeY2ErSc4 at its relaxed geometry (PBE).

abc: 4.916 4.916 9.188
angles: 90.00 90.00 90.00
Element x y z (fractional)
Ce 0.000 0.000 0.000
Y 0.000 0.000 0.500
Y 0.500 0.500 0.000
Er 0.500 0.500 0.500
Sc 0.000 0.500 0.247
Sc 0.000 0.500 0.753
Sc 0.500 0.000 0.247
Sc 0.500 0.000 0.753

## Properties
space-group type: P4/mmm (123)
D(E_F): 14.7 states/eV/f.u.
E_tot: -48.202 eV/cell
DFT formation energy: 53.0 kJ/mol of formula units


Entry 4:
Entry from Alexandria via LeMat-Bulk: crystalline CeErScZn at its relaxed geometry (PBE).

abc: 5.201 5.201 5.201
angles: 60.00 60.00 60.00
Element x y z (fractional)
Ce 0.000 0.000 0.000
Er 0.500 0.500 0.500
Sc 0.250 0.250 0.250
Zn 0.750 0.750 0.750

## Properties
space-group type: F-43m (216)
D(E_F): 5.8 states/eV/f.u.
E_tot: -18.059 eV/cell
DFT formation energy: 4.1 kJ/mol of formula units